Entry 1:
This record from Alexandria via LeMat-Bulk describes a geometry-optimized La2PS structure. The functional is PBE-GGA.

```
data_La2PS
_chemical_formula_sum 'La6 P3 S3'
_cell_length_a 4.2185
_cell_length_b 4.2185
_cell_length_c 20.6964
_cell_angle_alpha 90.00
_cell_angle_beta 90.00
_cell_angle_gamma 120.00
_space_group_name_H-M_alt 'R -3 m'
_space_group_IT_number 166
_space_group_name_Hall '-R 3 2"'
loop_
_atom_site_label
_atom_site_type_symbol
_atom_site_fract_x
_atom_site_fract_y
_atom_site_fract_z
La1 La 0.0000 0.0000 0.2480
P1 P 0.0000 0.0000 0.5000
S1 S 0.0000 0.0000 0.0000
```

=====

Entry 2:
This record from Alexandria via LeMat-Bulk describes a geometry-optimized LaP3S structure. The functional is PBE-GGA.

```
data_LaP3S
_chemical_formula_sum 'La1 P3 S1'
_cell_length_a 5.552
_cell_length_b 5.552
_cell_length_c 5.552
_cell_angle_alpha 90.00
_cell_angle_beta 90.00
_cell_angle_gamma 90.00
_space_group_name_H-M_alt 'P m -3 m'
_space_group_IT_number 221
_space_group_name_Hall '-P 4 2 3'
loop_
_atom_site_label
_atom_site_type_symbol
_atom_site_fract_x
_atom_site_fract_y
_atom_site_fract_z
La1 La 0.000 0.000 0.000
P1 P 0.000 0.000 0.500
S1 S 0.500 0.500 0.500
```

=====

Entry 3:
This record from Alexandria via LeMat-Bulk describes a geometry-optimized La6P5S structure. The functional is PBE-GGA.

```
data_La6P5S
_chemical_formula_sum 'La12 P10 S2'
_cell_length_a 7.374
_cell_length_b 12.768
_cell_length_c 7.377
_cell_angle_alpha 90.00
_cell_angle_beta 109.47
_cell_angle_gamma 90.00
_space_group_name_H-M_alt 'C 1 2/m 1'
_space_group_IT_number 12
_space_group_name_Hall '-C 2y'
loop_
_atom_site_label
_atom_site_type_symbol
_atom_site_fract_x
_atom_site_fract_y
_atom_site_fract_z
La1 La 0.248 0.000 0.252
La2 La 0.248 0.168 0.748
P1 P 0.000 0.000 0.500
P2 P 0.000 0.167 0.000
P3 P 0.000 0.334 0.500
S1 S 0.000 0.500 0.000
```

=====

Entry 4:
This record from Alexandria via LeMat-Bulk describes a geometry-optimized La2PS structure. The functional is PBE-GGA.

```
data_La2PS
_chemical_formula_sum 'La6 P3 S3'
_cell_length_a 4.1304
_cell_length_b 4.1304
_cell_length_c 21.8638
_cell_angle_alpha 90.00
_cell_angle_beta 90.00
_cell_angle_gamma 120.00
_space_group_name_H-M_alt 'R 3 m'
_space_group_IT_number 160
_space_group_name_Hall 'R 3 -2"'
loop_
_atom_site_label
_atom_site_type_symbol
_atom_site_fract_x
_atom_site_fract_y
_atom_site_fract_z
La1 La 0.0000 0.0000 0.0000
La2 La 0.0000 0.0000 0.1774
P1 P 0.0000 0.0000 0.5893
S1 S 0.0000 0.0000 0.4203
```

=====

Entry 5:
This record from Alexandria via LeMat-Bulk describes a geometry-optimized LaPS3 structure. The functional is PBE-GGA.

```
data_LaPS3
_chemical_formula_sum 'La1 P1 S3'
_cell_length_a 5.476
_cell_length_b 5.476
_cell_length_c 5.476
_cell_angle_alpha 90.00
_cell_angle_beta 90.00
_cell_angle_gamma 90.00
_space_group_name_H-M_alt 'P m -3 m'
_space_group_IT_number 221
_space_group_name_Hall '-P 4 2 3'
loop_
_atom_site_label
_atom_site_type_symbol
_atom_site_fract_x
_atom_site_fract_y
_atom_site_fract_z
La1 La 0.000 0.000 0.000
P1 P 0.500 0.500 0.500
S1 S 0.000 0.000 0.500
```

=====

Entry 6:
This record from Alexandria via LeMat-Bulk describes a geometry-optimized La8PS6 structure. The functional is PBE-GGA.

```
data_La8PS6
_chemical_formula_sum 'La8 P1 S6'
_cell_length_a 10.4921
_cell_length_b 10.4921
_cell_length_c 4.2731
_cell_angle_alpha 90.00
_cell_angle_beta 90.00
_cell_angle_gamma 120.00
_space_group_name_H-M_alt 'P -3'
_space_group_IT_number 147
_space_group_name_Hall '-P 3'
loop_
_atom_site_label
_atom_site_type_symbol
_atom_site_fract_x
_atom_site_fract_y
_atom_site_fract_z
La1 La 0.0328 0.3216 0.2420
La2 La 0.3333 0.6667 0.7514
P1 P 0.0000 0.0000 0.0000
S1 S 0.1311 0.6493 0.2525
```

=====

Entry 7:
This record from Alexandria via LeMat-Bulk describes a geometry-optimized La2PS structure. The functional is PBE-GGA.

```
data_La2PS
_chemical_formula_sum 'La4 P2 S2'
_cell_length_a 4.222
_cell_length_b 5.962
_cell_length_c 8.437
_cell_angle_alpha 90.00
_cell_angle_beta 90.00
_cell_angle_gamma 90.00
_space_group_name_H-M_alt 'P m m n'
_space_group_IT_number 59
loop_
_space_group_symop_operation_xyz
'x,y,z'
'-x,-y,-z'
'-x+1/2,-y+1/2,z'
'x+1/2,y+1/2,-z'
'x+1/2,-y,-z'
'-x+1/2,y,z'
'-x,y+1/2,-z'
'x,-y+1/2,z'
loop_
_atom_site_label
_atom_site_type_symbol
_atom_site_fract_x
_atom_site_fract_y
_atom_site_fract_z
La1 La 0.250 0.250 0.120
La2 La 0.250 0.250 0.630
P1 P 0.250 0.750 0.129
S1 S 0.250 0.750 0.623
```

=====

Entry 8:
This record from Alexandria via LeMat-Bulk describes a geometry-optimized La6SbP3S2 structure. The functional is PBE-GGA.

```
data_La6SbP3S2
_chemical_formula_sum 'La12 Sb2 P6 S4'
_cell_length_a 18.778
_cell_length_b 4.298
_cell_length_c 8.622
_cell_angle_alpha 90.00
_cell_angle_beta 103.60
_cell_angle_gamma 90.00
_space_group_name_H-M_alt 'C 1 2/m 1'
_space_group_IT_number 12
_space_group_name_Hall '-C 2y'
loop_
_atom_site_label
_atom_site_type_symbol
_atom_site_fract_x
_atom_site_fract_y
_atom_site_fract_z
La1 La 0.000 0.000 0.234
La2 La 0.165 0.500 0.087
La3 La 0.173 0.500 0.582
Sb1 Sb 0.000 0.500 0.500
P1 P 0.000 0.500 0.000
P2 P 0.166 0.000 0.330
S1 S 0.170 0.000 0.837
```

=====

Entry 9:
This record from Alexandria via LeMat-Bulk describes a geometry-optimized LaSbP2S structure. The functional is PBE-GGA.

```
data_LaSbP2S
_chemical_formula_sum 'La1 Sb1 P2 S1'
_cell_length_a 5.518
_cell_length_b 5.518
_cell_length_c 5.312
_cell_angle_alpha 90.00
_cell_angle_beta 90.00
_cell_angle_gamma 90.00
_space_group_name_H-M_alt 'P 4/m m m'
_space_group_IT_number 123
_space_group_name_Hall '-P 4 2'
loop_
_atom_site_label
_atom_site_type_symbol
_atom_site_fract_x
_atom_site_fract_y
_atom_site_fract_z
La1 La 0.000 0.000 0.000
Sb1 Sb 0.500 0.500 0.500
P1 P 0.000 0.500 0.000
S1 S 0.000 0.000 0.500
```

=====

Entry 10:
This record from Alexandria via LeMat-Bulk describes a geometry-optimized LaSbP2S structure. The functional is PBE-GGA.

```
data_LaSbP2S
_chemical_formula_sum 'La1 Sb1 P2 S1'
_cell_length_a 4.992
_cell_length_b 4.992
_cell_length_c 5.066
_cell_angle_alpha 90.00
_cell_angle_beta 90.00
_cell_angle_gamma 90.00
_space_group_name_H-M_alt 'P 4/m m m'
_space_group_IT_number 123
_space_group_name_Hall '-P 4 2'
loop_
_atom_site_label
_atom_site_type_symbol
_atom_site_fract_x
_atom_site_fract_y
_atom_site_fract_z
La1 La 0.000 0.000 0.000
Sb1 Sb 0.500 0.500 0.500
P1 P 0.000 0.500 0.500
S1 S 0.500 0.500 0.000
```

=====

Entry 11:
This record from Alexandria via LeMat-Bulk describes a geometry-optimized LaScP2S8 structure. The functional is PBE-GGA.

```
data_LaScP2S8
_chemical_formula_sum 'La1 Sc1 P2 S8'
_cell_length_a 6.5445
_cell_length_b 6.5445
_cell_length_c 8.3860
_cell_angle_alpha 90.00
_cell_angle_beta 90.00
_cell_angle_gamma 120.00
_space_group_name_H-M_alt 'P -3 m 1'
_space_group_IT_number 164
_space_group_name_Hall '-P 3 2"'
loop_
_atom_site_label
_atom_site_type_symbol
_atom_site_fract_x
_atom_site_fract_y
_atom_site_fract_z
La1 La 0.0000 0.0000 0.0000
Sc1 Sc 0.0000 0.0000 0.5000
P1 P 0.3333 0.6667 0.2047
S1 S 0.1612 0.3224 0.2841
S2 S 0.3333 0.6667 0.9679
```

=====

Entry 12:
This record from Alexandria via LeMat-Bulk describes a geometry-optimized LaPSeS2 structure. The functional is PBE-GGA.

```
data_LaPSeS2
_chemical_formula_sum 'La1 P1 Se1 S2'
_cell_length_a 5.414
_cell_length_b 5.414
_cell_length_c 5.998
_cell_angle_alpha 90.00
_cell_angle_beta 90.00
_cell_angle_gamma 90.00
_space_group_name_H-M_alt 'P 4/m m m'
_space_group_IT_number 123
_space_group_name_Hall '-P 4 2'
loop_
_atom_site_label
_atom_site_type_symbol
_atom_site_fract_x
_atom_site_fract_y
_atom_site_fract_z
La1 La 0.000 0.000 0.000
P1 P 0.000 0.000 0.500
Se1 Se 0.500 0.500 0.500
S1 S 0.000 0.500 0.000
```

=====

Calculated ΔE_f (raw) (eV per formula unit), listed in the same order as above: -7.7 6.7 -20.6 -7.2 2.3 -24.3 -7.7 -20.8 3.0 -0.8 -9.4 2.4
Calculated magnetic moment (μB per cell), listed in the same order as above: 0.0 2.1 0.0 0.0 0.0 0.0 0.0 0.0 0.0 0.0 0.0 3.4
Calculated DFT total energy (eV/cell), listed in the same order as above: -81.27 -18.57 -162.69 -79.91 -20.46 -93.93 -54.20 -158.00 -21.00 -24.77 -64.54 -19.71